Model one:
This record from Alexandria describes a geometry-optimized CaSeI2O structure. The functional is GGA-PBE.

Computed properties:
The calculation puts the density of states at the Fermi level at 9.1 states/eV/f.u.

a = 6.115 Å, b = 6.115 Å, c = 4.127 Å
α = 90.00°, β = 90.00°, γ = 90.00°
Space group P4/mmm (No. 123)
Asymmetric unit:
Ca 0.000 0.000 0.000 (multiplicity 1)
Se 0.500 0.500 0.500 (multiplicity 1)
I 0.000 0.500 0.000 (multiplicity 2)
O 0.000 0.000 0.500 (multiplicity 1)

=====

Model two:
This record from Alexandria describes a geometry-optimized CaSeI2O structure. The functional is GGA-PBE.

Computed properties:
The calculation puts the density of states at the Fermi level at 1.3 states/eV/f.u.

a = 5.954 Å, b = 5.954 Å, c = 3.942 Å
α = 90.00°, β = 90.00°, γ = 90.00°
Space group P4/mmm (No. 123)
Asymmetric unit:
Ca 0.000 0.000 0.000 (multiplicity 1)
Se 0.500 0.500 0.500 (multiplicity 1)
I 0.000 0.500 0.500 (multiplicity 2)
O 0.500 0.500 0.000 (multiplicity 1)

=====

model two takes first place; second place is 200 meV/atom up.